# 1
# FeHOs2Ru PBE relaxed
# M_tot = 0.25 μB per cell
# V = 11.1 Å³ per atom
# total energy = -42.40 eV per cell
data_FeHOs2Ru
_chemical_formula_sum 'Fe1 H1 Os2 Ru1'
_space_group_name_H-M_alt 'P 4/m m m'
_space_group_IT_number 123
_space_group_name_Hall '-P 4 2'
_cell_length_a 3.8411
_cell_length_b 3.8411
_cell_length_c 3.7725
_cell_angle_alpha 90.00
_cell_angle_beta 90.00
_cell_angle_gamma 90.00
loop_
_atom_site_label
_atom_site_type_symbol
_atom_site_fract_x
_atom_site_fract_y
_atom_site_fract_z
_atom_site_occupancy
Fe1 Fe 0.0000 0.0000 0.0000 1
H1 H 0.0000 0.0000 0.5000 1
Os1 Os 0.0000 0.5000 0.5000 1
Ru1 Ru 0.5000 0.5000 0.0000 1



# 2
# Th6GeTe3C2 PBE relaxed
# formation energy from raw total energies = -856 meV per atom
# M_tot = 0.00 μB per cell
# V = 26.7 Å³ per atom
# total energy = -174.56 eV per cell
data_Th6GeTe3C2
_chemical_formula_sum 'Th12 Ge2 Te6 C4'
_space_group_name_H-M_alt 'C 1 2/m 1'
_space_group_IT_number 12
_cell_length_a 18.9025
_cell_length_b 4.0725
_cell_length_c 8.7950
_cell_angle_alpha 90.00
_cell_angle_beta 108.65
_cell_angle_gamma 90.00
loop_
_space_group_symop_operation_xyz
'x,y,z'
'-x,-y,-z'
'-x,y,-z'
'x,-y,z'
'x+1/2,y+1/2,z'
'-x+1/2,-y+1/2,-z'
'-x+1/2,y+1/2,-z'
'x+1/2,-y+1/2,z'
loop_
_atom_site_label
_atom_site_type_symbol
_atom_site_fract_x
_atom_site_fract_y
_atom_site_fract_z
_atom_site_occupancy
Th1 Th 0.0268 0.0000 0.2484 1
Th2 Th 0.1666 0.5000 0.1361 1
Th3 Th 0.1825 0.5000 0.5501 1
Ge1 Ge 0.0000 0.5000 0.0000 1
Te1 Te 0.0000 0.5000 0.5000 1
Te2 Te 0.1593 0.0000 0.8328 1
C1 C 0.1727 0.0000 0.3384 1



# 3
# CsSn3C PBE relaxed
# M_tot = 0.58 μB per cell
# V = 51.8 Å³ per atom
# total energy = -8.56 eV per cell
# energy above the lowest structure with this stoichiometry = 1781 meV/atom
data_CsSn3C
_chemical_formula_sum 'Cs1 Sn3 C1'
_space_group_name_H-M_alt 'P m -3 m'
_space_group_IT_number 221
_space_group_name_Hall '-P 4 2 3'
_cell_length_a 6.3749
_cell_length_b 6.3749
_cell_length_c 6.3749
_cell_angle_alpha 90.00
_cell_angle_beta 90.00
_cell_angle_gamma 90.00
loop_
_atom_site_label
_atom_site_type_symbol
_atom_site_fract_x
_atom_site_fract_y
_atom_site_fract_z
_atom_site_occupancy
Cs1 Cs 0.0000 0.0000 0.0000 1
Sn1 Sn 0.0000 0.0000 0.5000 1
C1 C 0.5000 0.5000 0.5000 1



# 4
# PIrF PBE relaxed
# formation energy from raw total energies = -1001 meV per atom
# M_tot = 0.00 μB per cell
# V = 19.5 Å³ per atom
# total energy = -153.15 eV per cell
# energy above the lowest structure with this stoichiometry = 0 meV/atom
data_PIrF
_chemical_formula_sum 'P8 Ir8 F8'
_space_group_name_H-M_alt 'C 1 2/m 1'
_space_group_IT_number 12
_cell_length_a 15.0685
_cell_length_b 4.0536
_cell_length_c 7.7121
_cell_angle_alpha 90.00
_cell_angle_beta 97.22
_cell_angle_gamma 90.00
loop_
_space_group_symop_operation_xyz
'x,y,z'
'-x,-y,-z'
'-x,y,-z'
'x,-y,z'
'x+1/2,y+1/2,z'
'-x+1/2,-y+1/2,-z'
'-x+1/2,y+1/2,-z'
'x+1/2,-y+1/2,z'
loop_
_atom_site_label
_atom_site_type_symbol
_atom_site_fract_x
_atom_site_fract_y
_atom_site_fract_z
_atom_site_occupancy
P1 P 0.1570 0.0000 0.3615 1
P2 P 0.1746 0.0000 0.8480 1
Ir1 Ir 0.2475 0.0000 0.1289 1
Ir2 Ir 0.2478 0.5000 0.3777 1
F1 F 0.0688 0.0000 0.8337 1
F2 F 0.0933 0.5000 0.4056 1



# 5
# La2TbPm12 PBE relaxed
# M_tot = 0.00 μB per cell
# V = 36.9 Å³ per atom
# total energy = -133.96 eV per cell
data_La2TbPm12
_chemical_formula_sum 'La4 Tb2 Pm24'
_space_group_name_H-M_alt 'P 4/n b m'
_space_group_IT_number 125
_cell_length_a 6.5940
_cell_length_b 6.5940
_cell_length_c 25.4658
_cell_angle_alpha 90.00
_cell_angle_beta 90.00
_cell_angle_gamma 90.00
loop_
_space_group_symop_operation_xyz
'x,y,z'
'-x,-y,-z'
'-y+1/2,x,z'
'y+1/2,-x,-z'
'-x+1/2,-y+1/2,z'
'x+1/2,y+1/2,-z'
'y,-x+1/2,z'
'-y,x+1/2,-z'
'x,-y+1/2,-z'
'-x,y+1/2,z'
'-y+1/2,-x+1/2,-z'
'y+1/2,x+1/2,z'
'-x+1/2,y,-z'
'x+1/2,-y,z'
'y,x,-z'
'-y,-x,z'
loop_
_atom_site_label
_atom_site_type_symbol
_atom_site_fract_x
_atom_site_fract_y
_atom_site_fract_z
_atom_site_occupancy
La1 La 0.2500 0.7500 0.2346 1
Tb1 Tb 0.2500 0.7500 0.5000 1
Pm1 Pm 0.0622 0.5622 0.3868 1
Pm2 Pm 0.0821 0.5821 0.9385 1
Pm3 Pm 0.2500 0.2500 0.1618 1
Pm4 Pm 0.2500 0.2500 0.2854 1



# 6
# La6PrNd5 PBE relaxed
# M_tot = 0.00 μB per cell
# V = 36.1 Å³ per atom
# total energy = -116.15 eV per cell
# energy above the lowest structure with this stoichiometry = 0 meV/atom
data_La6PrNd5
_chemical_formula_sum 'La12 Pr2 Nd10'
_space_group_name_H-M_alt 'C 1 2/m 1'
_space_group_IT_number 12
_cell_length_a 12.2583
_cell_length_b 11.1359
_cell_length_c 6.4460
_cell_angle_alpha 90.00
_cell_angle_beta 99.98
_cell_angle_gamma 90.00
loop_
_space_group_symop_operation_xyz
'x,y,z'
'-x,-y,-z'
'-x,y,-z'
'x,-y,z'
'x+1/2,y+1/2,z'
'-x+1/2,-y+1/2,-z'
'-x+1/2,y+1/2,-z'
'x+1/2,-y+1/2,z'
loop_
_atom_site_label
_atom_site_type_symbol
_atom_site_fract_x
_atom_site_fract_y
_atom_site_fract_z
_atom_site_occupancy
La1 La 0.2503 0.0000 0.2496 1
La2 La 0.2502 0.1668 0.7502 1
Pr1 Pr 0.0000 0.0000 0.5000 1
Nd1 Nd 0.0000 0.1670 0.0000 1
Nd2 Nd 0.0000 0.3336 0.5000 1
Nd3 Nd 0.0000 0.5000 0.0000 1